[1]
A plane-wave DFT calculation with PBE was carried out for an optimized crystal structure of TbPrHg4.

The relative energy among the computed polymorphs is 0 meV/atom. As for the total magnetic moment: 0.1 μB/f.u. The value obtained for the density of states at the Fermi level is 0.7393 states/eV/atom.

It has space group C2/m (No. 12), with a = 10.6994 Å, b = 3.9135 Å, c = 8.0819 Å, α = 90.00°, β = 111.30° and γ = 90.00°. The distinct sites, in fractional coordinates, are Tb at (0.0000, 0.0000, 0.0000), Pr at (0.0000, 0.0000, 0.5000), Hg at (0.1675, 0.5000, 0.3232) and Hg at (0.1686, 0.5000, 0.8433).

[2]
A plane-wave DFT calculation with PBE was carried out for an optimized crystal structure of CuReNiRh2.

As for the total magnetic moment: 2.4 μB/f.u. The value obtained for the density of states at the Fermi level is 1.1083 states/eV/atom.

It has space group P4/mmm (No. 123), with a = 4.4193 Å, b = 4.4193 Å, c = 4.1350 Å, α = 90.00°, β = 90.00° and γ = 90.00°. The distinct sites, in fractional coordinates, are Cu at (0.0000, 0.0000, 0.0000), Re at (0.5000, 0.5000, 0.5000), Ni at (0.0000, 0.0000, 0.5000) and Rh at (0.0000, 0.5000, 0.0000).

[3]
A plane-wave DFT calculation with PBE was carried out for an optimized crystal structure of AsRu2.

As for the total magnetic moment: 0.0 μB/f.u. The value obtained for the density of states at the Fermi level is 1.2783 states/eV/atom.

It has space group P-3m1 (No. 164), with a = 4.1712 Å, b = 4.1712 Å, c = 2.8932 Å, α = 90.00°, β = 90.00° and γ = 120.00°. The distinct sites, in fractional coordinates, are As at (0.0000, 0.0000, 0.0000) and Ru at (0.3333, 0.6667, 0.7499).

It is found that the energy of formation values, taken in the order of the records, are -357 1496 78 meV/atom.
It is found that the volume values, taken in the order of the records, are 26.3 16.2 14.5 Å³/atom.
It is found that the E_tot values, taken in the order of the records, are -2.13 -5.91 -7.66 eV per atom.